First-principles (SCAN) data for a PBEsol-optimized structure of CaTlZn, as listed in Alexandria via LeMat-Bulk.

a = 3.6369 Å, b = 4.7151 Å, c = 4.7151 Å
α = 120.00°, β = 90.00°, γ = 90.00°
Last column: nearest neighbours and their distance in Å.
Fractional positions:
Zn1 0.0000 0.6667 0.3333  3 Tl 2.72
Tl1 0.0000 0.3333 0.6667  3 Zn 2.72
Ca1 0.5000 0.0000 0.0000  6 Tl 3.27, 6 Zn 3.27, 2 Ca 3.64

Values from the calculation:
Space group: P-6m2, No. 187
Energy of formation from the pure elements, kJ/mol of atoms: -42.0
Calculated total energy, eV for the cell shown: -96.8
Size of the total moment, μB per atom: 0.00

***

First-principles (SCAN) data for a PBEsol-optimized structure of BeCuRu2, as listed in Alexandria via LeMat-Bulk.

a = 2.6521 Å, b = 3.7530 Å, c = 4.8897 Å
α = 90.00°, β = 105.78°, γ = 90.00°
Last column: nearest neighbours and their distance in Å.
Fractional positions:
Be1 0.1873 0.0000 0.4983  2 Cu 2.18, 1 Ru 2.34
Cu1 0.3047 0.5000 0.7352  2 Be 2.18
Ru1 0.9383 0.0000 0.0019  1 Be 2.34, 4 Ru 2.61
Ru2 0.5697 0.5000 0.2646  3 Cu 2.49-2.58, 4 Be 2.55, 6 Ru 2.61-2.65

Values from the calculation:
Space group: Amm2, No. 38
Energy of formation from the pure elements, kJ/mol of atoms: 1.7
Calculated total energy, eV for the cell shown: -89.1
Size of the total moment, μB per atom: 0.00